Record 1
# LaBeSe2Br, relaxed, DFT PBE
# **Excess energy over the best structure of this formula in the dataset**: 955 meV/atom
# **Density of states at the Fermi level**: 6.988 states/eV/cell
# **Formation energy without anion corrections**: -0.0815 eV per atom
# **Uncorrected energy**: -3.54 eV/atom
data_LaBeSe2Br
_chemical_formula_sum 'La1 Be1 Se2 Br1'
_space_group_name_H-M_alt 'P 4/m m m'
_space_group_IT_number 123
_space_group_name_Hall '-P 4 2'
_cell_length_a 5.814
_cell_length_b 5.814
_cell_length_c 5.767
_cell_angle_alpha 90.00
_cell_angle_beta 90.00
_cell_angle_gamma 90.00
loop_
_atom_site_label
_atom_site_fract_x
_atom_site_fract_y
_atom_site_fract_z
La1 0.000 0.000 0.000
Be1 0.500 0.500 0.500
Se1 0.000 0.500 0.000
Br1 0.000 0.000 0.500

=====

Record 2
# LaBeSeBr2, relaxed, DFT PBE
# **Excess energy over the best structure of this formula in the dataset**: 424 meV/atom
# **Density of states at the Fermi level**: 3.568 states/eV/cell
# **Formation energy without anion corrections**: -0.4612 eV per atom
# **Uncorrected energy**: -3.56 eV/atom
data_LaBeSeBr2
_chemical_formula_sum 'La1 Be1 Se1 Br2'
_space_group_name_H-M_alt 'P 4/m m m'
_space_group_IT_number 123
_space_group_name_Hall '-P 4 2'
_cell_length_a 5.826
_cell_length_b 5.826
_cell_length_c 5.895
_cell_angle_alpha 90.00
_cell_angle_beta 90.00
_cell_angle_gamma 90.00
loop_
_atom_site_label
_atom_site_fract_x
_atom_site_fract_y
_atom_site_fract_z
La1 0.000 0.000 0.000
Be1 0.500 0.500 0.500
Se1 0.000 0.000 0.500
Br1 0.000 0.500 0.000

=====

Question: Which value of excess energy over the best structure of this formula in the dataset does entry 1 give?
Answer: 955 meV/atom

=====

Question: What is the uncorrected energy in the first record?
Answer: -3.54 eV/atom

=====

Question: Which of these has the lowest uncorrected energy?
Answer: LaBeSeBr2

=====

Question: Number 1 is which compound?
Answer: LaBeSe2Br